# ScAsBr2

A relaxed ScAsBr2 crystal (PBE, Alexandria via LeMat-Bulk).

CIF file:
```
data_ScAsBr2
_cell_length_a 5.1320
_cell_length_b 5.1320
_cell_length_c 7.2025
_cell_angle_alpha 99.74
_cell_angle_beta 99.74
_cell_angle_gamma 42.94
_symmetry_space_group_name_H-M 'P 1'
_symmetry_Int_Tables_number 1
_symmetry_space_group_name_Hall 'P 1'
loop_
_atom_site_label
_atom_site_fract_x
_atom_site_fract_y
_atom_site_fract_z
Sc1 0.0000 0.0000 0.0000
As1 0.2938 0.2938 0.9655
Br1 0.4376 0.4376 0.7020
Br2 0.6354 0.6354 0.2548
```

Values from the calculation:
The calculation puts the formation energy without anion corrections at -0.91 eV/atom. The crystal system is monoclinic. The space group is Cm. The total DFT energy (no corrections) comes out at -17.98 eV per cell. For the distance to the lowest polymorph of the same formula, the calculation gives 60 meV per atom.

---

# ScAsBr2

A relaxed ScAsBr2 crystal (PBE, Alexandria via LeMat-Bulk).

CIF file:
```
data_ScAsBr2
_cell_length_a 9.2985
_cell_length_b 9.2985
_cell_length_c 9.2985
_cell_angle_alpha 22.40
_cell_angle_beta 22.40
_cell_angle_gamma 22.40
_symmetry_space_group_name_H-M 'P 1'
_symmetry_Int_Tables_number 1
_symmetry_space_group_name_Hall 'P 1'
loop_
_atom_site_label
_atom_site_fract_x
_atom_site_fract_y
_atom_site_fract_z
Sc1 0.0000 0.0000 0.0000
As1 0.2650 0.2650 0.2650
Br1 0.5187 0.5187 0.5187
Br2 0.7301 0.7301 0.7301
```

Values from the calculation:
The calculation puts the formation energy without anion corrections at -0.60 eV/atom. The crystal system is trigonal. The space group is R3m. The total DFT energy (no corrections) comes out at -16.74 eV per cell. For the distance to the lowest polymorph of the same formula, the calculation gives 371 meV per atom.

---

# ScAs3Br

A relaxed ScAs3Br crystal (PBE, Alexandria via LeMat-Bulk).

CIF file:
```
data_ScAs3Br
_cell_length_a 5.1436
_cell_length_b 5.1436
_cell_length_c 5.1436
_cell_angle_alpha 90.00
_cell_angle_beta 90.00
_cell_angle_gamma 90.00
_symmetry_space_group_name_H-M 'P 1'
_symmetry_Int_Tables_number 1
_symmetry_space_group_name_Hall 'P 1'
loop_
_atom_site_label
_atom_site_fract_x
_atom_site_fract_y
_atom_site_fract_z
Sc1 0.0000 0.0000 0.0000
As1 0.0000 0.0000 0.5000
As2 0.0000 0.5000 0.0000
As3 0.5000 0.0000 0.0000
Br1 0.5000 0.5000 0.5000
```

Values from the calculation:
The calculation puts the formation energy without anion corrections at 0.27 eV/atom. The crystal system is cubic. The space group is Pm-3m. The total DFT energy (no corrections) comes out at -20.63 eV per cell. For the distance to the lowest polymorph of the same formula, the calculation gives 0 meV per atom.

---

# Sc2As2Br

A relaxed Sc2As2Br crystal (PBE, Alexandria via LeMat-Bulk).

CIF file:
```
data_Sc2As2Br
_cell_length_a 7.5506
_cell_length_b 7.5506
_cell_length_c 3.6403
_cell_angle_alpha 90.00
_cell_angle_beta 90.00
_cell_angle_gamma 90.00
_symmetry_space_group_name_H-M 'P 1'
_symmetry_Int_Tables_number 1
_symmetry_space_group_name_Hall 'P 1'
loop_
_atom_site_label
_atom_site_fract_x
_atom_site_fract_y
_atom_site_fract_z
Sc1 0.1649 0.3351 0.0000
Sc2 0.3351 0.8351 0.0000
Sc3 0.6649 0.1649 0.0000
Sc4 0.8351 0.6649 0.0000
As1 0.1273 0.6273 0.5000
As2 0.3727 0.1273 0.5000
As3 0.6273 0.8727 0.5000
As4 0.8727 0.3727 0.5000
Br1 0.0000 0.0000 0.0000
Br2 0.5000 0.5000 0.0000
```

Values from the calculation:
The calculation puts the formation energy without anion corrections at -1.05 eV/atom. The crystal system is tetragonal. The space group is P4/mbm. The total DFT energy (no corrections) comes out at -57.76 eV per cell. For the distance to the lowest polymorph of the same formula, the calculation gives 0 meV per atom.

---

# ScAs4Br

A relaxed ScAs4Br crystal (PBE, Alexandria via LeMat-Bulk).

CIF file:
```
data_ScAs4Br
_cell_length_a 5.6357
_cell_length_b 5.6357
_cell_length_c 5.6357
_cell_angle_alpha 60.00
_cell_angle_beta 60.00
_cell_angle_gamma 60.00
_symmetry_space_group_name_H-M 'P 1'
_symmetry_Int_Tables_number 1
_symmetry_space_group_name_Hall 'P 1'
loop_
_atom_site_label
_atom_site_fract_x
_atom_site_fract_y
_atom_site_fract_z
Sc1 0.0000 0.0000 0.0000
As1 0.1359 0.6214 0.6214
As2 0.6214 0.1359 0.6214
As3 0.6214 0.6214 0.1359
As4 0.6214 0.6214 0.6214
Br1 0.2500 0.2500 0.2500
```

Values from the calculation:
The calculation puts the formation energy without anion corrections at -0.03 eV/atom. The crystal system is cubic. The space group is F-43m. The total DFT energy (no corrections) comes out at -26.81 eV per cell.

---

# ScAsBr

A relaxed ScAsBr crystal (PBE, Alexandria via LeMat-Bulk).

CIF file:
```
data_ScAsBr
_cell_length_a 7.5729
_cell_length_b 7.4726
_cell_length_c 3.2757
_cell_angle_alpha 79.14
_cell_angle_beta 75.72
_cell_angle_gamma 25.14
_symmetry_space_group_name_H-M 'P 1'
_symmetry_Int_Tables_number 1
_symmetry_space_group_name_Hall 'P 1'
loop_
_atom_site_label
_atom_site_fract_x
_atom_site_fract_y
_atom_site_fract_z
Sc1 0.0000 0.0000 0.0000
As1 0.3761 0.3761 0.6239
Br1 0.6255 0.6255 0.3745
```

Values from the calculation:
The calculation puts the formation energy without anion corrections at -0.83 eV/atom. The crystal system is orthorhombic. The space group is Fmm2. The total DFT energy (no corrections) comes out at -15.16 eV per cell. For the distance to the lowest polymorph of the same formula, the calculation gives 373 meV per atom.

---

# ScAsBr2

A relaxed ScAsBr2 crystal (PBE, Alexandria via LeMat-Bulk).

CIF file:
```
data_ScAsBr2
_cell_length_a 5.0532
_cell_length_b 5.0532
_cell_length_c 5.0532
_cell_angle_alpha 60.00
_cell_angle_beta 60.00
_cell_angle_gamma 60.00
_symmetry_space_group_name_H-M 'P 1'
_symmetry_Int_Tables_number 1
_symmetry_space_group_name_Hall 'P 1'
loop_
_atom_site_label
_atom_site_fract_x
_atom_site_fract_y
_atom_site_fract_z
Sc1 0.0000 0.0000 0.0000
As1 0.7500 0.7500 0.7500
Br1 0.2500 0.2500 0.2500
Br2 0.5000 0.5000 0.5000
```

Values from the calculation:
The calculation puts the formation energy without anion corrections at -0.20 eV/atom. The crystal system is cubic. The space group is F-43m. The total DFT energy (no corrections) comes out at -15.14 eV per cell. For the distance to the lowest polymorph of the same formula, the calculation gives 770 meV per atom.

---

# ScAsBr2

A relaxed ScAsBr2 crystal (PBE, Alexandria via LeMat-Bulk).

CIF file:
```
data_ScAsBr2
_cell_length_a 5.2355
_cell_length_b 5.2355
_cell_length_c 3.4097
_cell_angle_alpha 90.00
_cell_angle_beta 90.00
_cell_angle_gamma 102.93
_symmetry_space_group_name_H-M 'P 1'
_symmetry_Int_Tables_number 1
_symmetry_space_group_name_Hall 'P 1'
loop_
_atom_site_label
_atom_site_fract_x
_atom_site_fract_y
_atom_site_fract_z
Sc1 0.0000 0.0000 0.0000
As1 0.5000 0.5000 0.0000
Br1 0.0000 0.5000 0.5000
Br2 0.5000 0.0000 0.5000
```

Values from the calculation:
The calculation puts the formation energy without anion corrections at -0.14 eV/atom. The crystal system is orthorhombic. The space group is Cmmm. The total DFT energy (no corrections) comes out at -14.87 eV per cell. For the distance to the lowest polymorph of the same formula, the calculation gives 837 meV per atom.

---

# ScAsBr2

A relaxed ScAsBr2 crystal (PBE, Alexandria via LeMat-Bulk).

CIF file:
```
data_ScAsBr2
_cell_length_a 4.0362
_cell_length_b 3.8119
_cell_length_c 7.6516
_cell_angle_alpha 90.00
_cell_angle_beta 93.33
_cell_angle_gamma 90.00
_symmetry_space_group_name_H-M 'P 1'
_symmetry_Int_Tables_number 1
_symmetry_space_group_name_Hall 'P 1'
loop_
_atom_site_label
_atom_site_fract_x
_atom_site_fract_y
_atom_site_fract_z
Sc1 0.0000 0.0000 0.0000
As1 0.4897 0.5000 0.9712
Br1 0.2300 0.5000 0.2706
Br2 0.8379 0.0000 0.6767
```

Values from the calculation:
The calculation puts the formation energy without anion corrections at -0.97 eV/atom. The crystal system is monoclinic. The space group is Pm. The total DFT energy (no corrections) comes out at -18.22 eV per cell. For the distance to the lowest polymorph of the same formula, the calculation gives 0 meV per atom.

---

# ScAsBr

A relaxed ScAsBr crystal (PBE, Alexandria via LeMat-Bulk).

CIF file:
```
data_ScAsBr
_cell_length_a 5.1081
_cell_length_b 5.4148
_cell_length_c 6.8497
_cell_angle_alpha 111.43
_cell_angle_beta 101.09
_cell_angle_gamma 92.71
_symmetry_space_group_name_H-M 'P 1'
_symmetry_Int_Tables_number 1
_symmetry_space_group_name_Hall 'P 1'
loop_
_atom_site_label
_atom_site_fract_x
_atom_site_fract_y
_atom_site_fract_z
Sc1 0.0000 0.0000 0.0000
Sc2 0.3511 0.7168 0.3472
As1 0.0364 0.4890 0.9483
As2 0.8314 0.7619 0.2432
Br1 0.4028 0.2455 0.3707
Br2 0.4530 0.9402 0.7870
```

Values from the calculation:
The calculation puts the formation energy without anion corrections at -1.03 eV/atom. The crystal system is triclinic. The space group is P1. The total DFT energy (no corrections) comes out at -31.50 eV per cell. For the distance to the lowest polymorph of the same formula, the calculation gives 176 meV per atom.